Entry 1:
Compound: LiTmCoSi
Source: Alexandria via LeMat-Bulk
Functional: PBE-GGA
Structure: relaxed

Lattice parameters (Å, degrees): 4.3545 4.3545 4.3545 60.00 60.00 60.00
Atoms (fractional coordinates):
Si: 0.7500 0.7500 0.7500
Tm: 0.2500 0.2500 0.2500
Co: 0.0000 0.0000 0.0000
Li: 0.5000 0.5000 0.5000

Values from the calculation:
Formation energy without anion corrections   -0.38 eV/atom



Entry 2:
Compound: Ce3Os2Pd
Source: Alexandria via LeMat-Bulk
Functional: PBE-GGA
Structure: relaxed

Lattice parameters (Å, degrees): 5.6772 8.1065 7.0105 106.80 113.89 90.00
Atoms (fractional coordinates):
Ce: 0.5070 0.2500 0.0000
Ce: 0.4930 0.7500 0.0000
Ce: 0.1798 0.0907 0.3627
Ce: 0.8171 0.4093 0.6373
Ce: 0.1829 0.5907 0.3627
Ce: 0.8202 0.9093 0.6373
Os: 0.6602 0.5793 0.3180
Os: 0.6578 0.0793 0.3180
Os: 0.3422 0.9207 0.6820
Os: 0.3398 0.4207 0.6820
Pd: 0.9927 0.7500 0.0000
Pd: 0.0073 0.2500 0.0000

Values from the calculation:
Energy of formation from the pure elements   -1.3 eV per formula unit



Entry 3:
Compound: Pm2GeCl3
Source: Alexandria via LeMat-Bulk
Functional: PBE-GGA
Structure: relaxed

Lattice parameters (Å, degrees): 4.1109 9.5465 10.2160 80.90 78.39 77.57
Atoms (fractional coordinates):
Pm: 0.8721 0.4296 0.8263
Pm: 0.1279 0.5704 0.1737
Pm: 0.6180 0.2081 0.5560
Pm: 0.3820 0.7919 0.4440
Ge: 0.4369 0.5035 0.6228
Ge: 0.5631 0.4965 0.3772
Cl: 0.0497 0.1457 0.7549
Cl: 0.9503 0.8543 0.2451
Cl: 0.6769 0.6669 0.9792
Cl: 0.3231 0.3331 0.0208
Cl: 0.7568 0.8790 0.6073
Cl: 0.2432 0.1210 0.3927

Values from the calculation:
Formation energy without anion corrections   -1.66 eV/atom



Entry 4:
Compound: RbNa3Ni
Source: Alexandria via LeMat-Bulk
Functional: PBE-GGA
Structure: relaxed

Lattice parameters (Å, degrees): 5.6574 5.6574 5.6574 90.00 90.00 90.00
Atoms (fractional coordinates):
Ni: 0.0000 0.0000 0.0000
Rb: 0.5000 0.5000 0.5000
Na: 0.0000 0.5000 0.0000
Na: 0.0000 0.0000 0.5000
Na: 0.5000 0.0000 0.0000

Values from the calculation:
Energy of formation from the pure elements   1.9 eV per formula unit



Entry 5:
Compound: Hf12Sn6H
Source: Alexandria via LeMat-Bulk
Functional: PBE-GGA
Structure: relaxed

Lattice parameters (Å, degrees): 7.7787 7.7787 7.7787 101.48 101.48 101.48
Atoms (fractional coordinates):
Hf: 0.7935 0.5993 0.4847
Hf: 0.4847 0.7935 0.5993
Hf: 0.5993 0.4847 0.7935
Hf: 0.2065 0.4007 0.5153
Hf: 0.5153 0.2065 0.4007
Hf: 0.4007 0.5153 0.2065
Hf: 0.0517 0.0125 0.2942
Hf: 0.9875 0.7058 0.9483
Hf: 0.7058 0.9483 0.9875
Hf: 0.9483 0.9875 0.7058
Hf: 0.0125 0.2942 0.0517
Hf: 0.2942 0.0517 0.0125
Sn: 0.6789 0.8933 0.3395
Sn: 0.6605 0.3211 0.1067
Sn: 0.1067 0.6605 0.3211
Sn: 0.3211 0.1067 0.6605
Sn: 0.3395 0.6789 0.8933
Sn: 0.8933 0.3395 0.6789
H: 0.0000 0.0000 0.0000

Values from the calculation:
Total DFT energy (no corrections)   -146.1 eV/cell



Entry 6:
Compound: BAsPC
Source: Alexandria via LeMat-Bulk
Functional: PBE-GGA
Structure: relaxed

Lattice parameters (Å, degrees): 3.1631 2.7131 11.8808 90.00 106.32 90.00
Atoms (fractional coordinates):
P: 0.2249 0.0000 0.5296
P: 0.2249 0.5000 0.0296
As: 0.5374 0.0000 0.3264
As: 0.5374 0.5000 0.8264
B: 0.8458 0.0000 0.6398
B: 0.8458 0.5000 0.1398
C: 0.9105 0.0000 0.2114
C: 0.9105 0.5000 0.7114

Values from the calculation:
Energy of formation from the pure elements   1.2 eV per formula unit



Entry 7:
Compound: Na2WCl4
Source: Alexandria via LeMat-Bulk
Functional: PBE-GGA
Structure: relaxed

Lattice parameters (Å, degrees): 4.7984 4.7984 8.0394 72.64 72.64 90.00
Atoms (fractional coordinates):
Na: 0.6413 0.6413 0.7175
Na: 0.3587 0.3587 0.2825
W: 0.0000 0.0000 0.0000
Cl: 0.8272 0.8272 0.3456
Cl: 0.1728 0.1728 0.6544
Cl: 0.0000 0.5000 0.0000
Cl: 0.5000 0.0000 0.0000

Values from the calculation:
Formation energy without anion corrections   -0.78 eV/atom



Entry 8:
Compound: Ba2TaPb
Source: Alexandria via LeMat-Bulk
Functional: PBE-GGA
Structure: relaxed

Lattice parameters (Å, degrees): 6.8363 6.8363 6.8363 142.74 130.33 63.70
Atoms (fractional coordinates):
Pb: 0.4553 0.4553 0.0000
Ba: 0.0217 0.0217 0.0000
Ba: 0.7239 0.2239 0.5000
Ta: 0.2991 0.7991 0.5000

Values from the calculation:
Energy of formation from the pure elements   2.0 eV per formula unit



no.,density of states at the Fermi level (states/eV/atom)
1,1.07
2,0.72
3,0.04
4,0.60
5,0.87
6,0.28
7,0.51
8,1.34